# 1
{"formula": "Pm3Tm3CuS8", "functional": "GGA-PBE", "state": "relaxed", "spacegroup": "R-3m (166)", "dos_at_fermi_per_ev_atom": 0.3004, "formation_energy_uncorrected_ev_per_atom": -1.809, "total_energy_ev_per_cell": -91.921, "lattice_angstrom": [[-3.536, -6.918, -0.514], [4.123, 1.802, 6.354], [-6.837, 3.595, -1.353]], "species": ["Pm", "Pm", "Pm", "Tm", "Tm", "Tm", "Cu", "S", "S", "S", "S", "S", "S", "S", "S"], "frac_coords": [[0.000, 0.000, 0.000], [0.000, 0.500, 0.000], [0.500, 0.500, 0.000], [0.500, 0.000, 0.500], [0.500, 0.500, 0.500], [0.000, 0.500, 0.500], [0.000, 0.000, 0.500], [0.255, 0.510, 0.265], [0.745, 0.490, 0.735], [0.757, 0.513, 0.267], [0.243, 0.487, 0.733], [0.756, 0.010, 0.267], [0.244, 0.990, 0.733], [0.254, 0.010, 0.267], [0.746, 0.990, 0.733]]}

---

# 2
{"formula": "Li2MnBe", "functional": "GGA-PBE", "state": "relaxed", "spacegroup": "Cmm2 (35)", "dos_at_fermi_per_ev_atom": 0.6517, "total_energy_ev_per_cell": -15.862, "delta_e_f_kcal_per_mol_atoms": 4.97, "lattice_angstrom": [[-0.452, -1.324, 1.914], [1.304, -1.455, -1.343], [7.108, 2.943, 3.714]], "species": ["Be", "Li", "Li", "Mn"], "frac_coords": [[0.500, 0.500, 0.728], [0.000, 0.000, 0.974], [0.500, 0.500, 0.273], [0.000, 0.000, 0.525]]}